First-principles (PBE-GGA) data for a relaxed Li2TlMo crystal, as listed in the Alexandria database.

a = 2.8789 Å, b = 4.8378 Å, c = 5.1401 Å
α = 90.00°, β = 93.14°, γ = 90.00°
Positions (direct):
Li  0.1948  0.0000  0.2220
Li  0.8052  0.0000  0.7780
Tl  0.0000  0.5000  0.5000
Mo  0.5000  0.5000  0.0000

Results
energy of formation from the pure elements	377	meV per atom
excess energy over the best structure of this formula in the dataset	21	meV per atom
V	71	Å³ per cell
E_tot	-3.88	eV per atom